Arrangement a

The following is a DFT calculation (PBE) of an optimized crystal structure of KNbSe2N.

Cell lengths 5.5874, 5.5874, 4.4959 Å; angles 90.00, 90.00, 90.00 degrees
Last column: magnetic moment on the atom in μB.
Atoms (fractional coordinates):
1 Nb 0.5000 0.5000 0.5000  2.42
2 K 0.0000 0.0000 0.0000  0.07
3 Se 0.0000 0.5000 0.0000  -0.19
4 Se 0.5000 0.0000 0.0000  -0.19
5 N 0.0000 0.0000 0.5000  1.72

DOS at the Fermi energy, states/eV/atom: 1.145
Mass density, g/cm³: 3.60

Arrangement b

The following is a DFT calculation (PBE) of an optimized crystal structure of KNbSe2N.

Cell lengths 5.2709, 5.2709, 4.0422 Å; angles 90.00, 90.00, 90.00 degrees
Last column: magnetic moment on the atom in μB.
Atoms (fractional coordinates):
1 Nb 0.0000 0.0000 0.0000  -0.14
2 K 0.5000 0.5000 0.5000  0.00
3 Se 0.0000 0.5000 0.0000  0.18
4 Se 0.5000 0.0000 0.0000  0.18
5 N 0.0000 0.0000 0.5000  0.35

DOS at the Fermi energy, states/eV/atom: 0.677
Mass density, g/cm³: 4.49

Most favorable structure: arrangement b. The second most favorable one is 224.2 kJ/mol of atoms above it.

Arrangement a

The following is a DFT calculation (PBE) of an optimized crystal structure of KNi3N.

Cell lengths 3.9989, 3.9989, 3.9989 Å; angles 90.00, 90.00, 90.00 degrees
Last column: magnetic moment on the atom in μB.
Atoms (fractional coordinates):
1 Ni 0.0000 0.5000 0.0000  0.58
2 Ni 0.0000 0.0000 0.5000  0.30
3 Ni 0.5000 0.0000 0.0000  0.81
4 K 0.5000 0.5000 0.5000  -0.01
5 N 0.0000 0.0000 0.0000  0.17

DOS at the Fermi energy, states/eV/atom: 0.744
Mass density, g/cm³: 5.95

Arrangement b

The following is a DFT calculation (PBE) of an optimized crystal structure of KNi3N.

Cell lengths 4.4659, 4.4659, 4.4659 Å; angles 90.00, 90.00, 90.00 degrees
Last column: magnetic moment on the atom in μB.
Atoms (fractional coordinates):
1 Ni 0.0000 0.5000 0.0000  0.49
2 Ni 0.0000 0.0000 0.5000  0.35
3 Ni 0.5000 0.0000 0.0000  0.63
4 K 0.0000 0.0000 0.0000  -0.05
5 N 0.5000 0.5000 0.5000  0.94

DOS at the Fermi energy, states/eV/atom: 1.861
Mass density, g/cm³: 4.27

Most favorable structure: arrangement a. The second most favorable one is 250.4 kJ/mol of atoms above it.

Arrangement a

The following is a DFT calculation (PBE) of an optimized crystal structure of KNiN.

Cell lengths 3.0867, 4.5123, 4.7182 Å; angles 90.30, 109.09, 90.00 degrees
Atoms (fractional coordinates):
1 Ni 0.2975 0.5367 0.5950
2 K 0.0403 0.0186 0.0806
3 N 0.7382 0.6507 0.4764

DOS at the Fermi energy, states/eV/atom: 0.377
Mass density, g/cm³: 2.99

Arrangement b

The following is a DFT calculation (PBE) of an optimized crystal structure of KNiN.

Cell lengths 4.9498, 3.2732, 3.2732 Å; angles 120.00, 90.00, 90.00 degrees
Last column: magnetic moment on the atom in μB.
Atoms (fractional coordinates):
1 Ni 0.1667 0.0000 0.0000  0.42
2 K 0.6667 0.3333 0.6667  0.00
3 N 0.1667 0.6667 0.3333  0.15

DOS at the Fermi energy, states/eV/atom: 0.897
Mass density, g/cm³: 4.04

Most favorable structure: arrangement b. The second most favorable one is 2.4 kJ/mol of atoms above it.

Arrangement a

The following is a DFT calculation (PBE) of an optimized crystal structure of KNiSe2N.

Cell lengths 5.4463, 5.4463, 3.3908 Å; angles 90.00, 90.00, 90.00 degrees
Atoms (fractional coordinates):
1 Ni 0.0000 0.0000 0.0000
2 K 0.5000 0.5000 0.5000
3 Se 0.0000 0.5000 0.0000
4 Se 0.5000 0.0000 0.0000
5 N 0.0000 0.0000 0.5000

DOS at the Fermi energy, states/eV/atom: 0.787
Mass density, g/cm³: 4.45

Arrangement b

The following is a DFT calculation (PBE) of an optimized crystal structure of KNiSe2N.

Cell lengths 5.8032, 5.8032, 4.8285 Å; angles 90.00, 90.00, 90.00 degrees
Last column: magnetic moment on the atom in μB.
Atoms (fractional coordinates):
1 Ni 0.5000 0.5000 0.5000  1.11
2 K 0.0000 0.0000 0.0000  0.08
3 Se 0.0000 0.5000 0.0000  0.68
4 Se 0.5000 0.0000 0.0000  0.68
5 N 0.0000 0.0000 0.5000  1.77

DOS at the Fermi energy, states/eV/atom: 1.840
Mass density, g/cm³: 2.75

Most favorable structure: arrangement a. The second most favorable one is 174.3 kJ/mol of atoms above it.